# 1
Material: Bi4Pb3Au4
Method: DFT, PBE
State: optimized geometry

The density is 12.23 g/cm³. As for the space group: Immm. The spin magnetization comes out at 0.00 Bohr magnetons per cell. As for the formation energy: -0.031 eV/atom.

Cell and atoms, written as POSCAR:
```
Bi4Pb3Au4
1.0
4.604 0.000 0.000
0.000 7.792 0.000
-2.302 -3.896 8.498
Bi Au Pb
4 4 3
Direct
0.330 0.555 0.660 Bi
0.670 0.895 0.340 Bi
0.330 0.105 0.660 Bi
0.670 0.445 0.340 Bi
0.500 0.211 0.000 Au
0.195 0.695 0.390 Au
0.805 0.305 0.610 Au
0.500 0.789 0.000 Au
0.908 0.908 0.816 Pb
0.000 0.500 0.000 Pb
0.092 0.092 0.184 Pb
```

***

# 2
Material: Bi2Pb4Au
Method: DFT, PBE
State: optimized geometry

The density is 10.40 g/cm³. As for the space group: P2/m. The spin magnetization comes out at 0.00 Bohr magnetons per cell. As for the formation energy: 0.045 eV/atom. Its energy above the lowest structure with this stoichiometry is 0.00 eV per formula unit.

Cell and atoms, written as POSCAR:
```
Bi2Pb4Au
1.0
4.161 0.000 0.000
0.000 6.341 -1.548
0.000 0.435 8.633
Au Bi Pb
1 2 4
Direct
0.000 0.929 0.000 Au
0.500 0.684 0.479 Bi
0.500 0.173 0.521 Bi
0.500 0.189 0.898 Pb
0.000 0.306 0.261 Pb
0.500 0.668 0.102 Pb
0.000 0.551 0.739 Pb
```

***

# 3
Material: BiPb8Au6
Method: DFT, PBE
State: optimized geometry

The density is 12.13 g/cm³. As for the space group: R-3. The spin magnetization comes out at 0.00 Bohr magnetons per cell. As for the formation energy: -0.056 eV/atom.

Cell and atoms, written as POSCAR:
```
BiPb8Au6
1.0
-2.575 -0.115 7.725
-7.943 -1.448 1.063
-1.893 -7.333 2.993
Pb Au Bi
8 6 1
Direct
0.448 0.105 0.771 Pb
0.334 0.334 0.334 Pb
0.552 0.895 0.229 Pb
0.771 0.448 0.105 Pb
0.105 0.771 0.448 Pb
0.666 0.666 0.666 Pb
0.229 0.552 0.895 Pb
0.895 0.229 0.552 Pb
0.737 0.070 0.394 Au
0.070 0.394 0.737 Au
0.606 0.263 0.930 Au
0.930 0.606 0.263 Au
0.394 0.737 0.070 Au
0.263 0.930 0.606 Au
0.000 0.000 0.000 Bi
```

***

# 4
Material: BiPb2Au
Method: DFT, PBE
State: optimized geometry

The density is 12.15 g/cm³. As for the space group: P4/mmm. The spin magnetization comes out at 0.00 Bohr magnetons per cell. As for the formation energy: 0.044 eV/atom.

Cell and atoms, written as POSCAR:
```
BiPb2Au
1.0
-4.489 0.338 -1.681
1.179 -2.845 -3.722
-1.257 -3.889 2.575
Au Pb Bi
1 2 1
Direct
0.500 0.500 0.500 Au
0.000 0.500 0.000 Pb
0.000 0.000 0.500 Pb
0.500 0.000 0.000 Bi
```

***

# 5
Material: BiPbAu2
Method: DFT, PBE
State: optimized geometry

The density is 12.51 g/cm³. As for the space group: R3m. The spin magnetization comes out at 0.00 Bohr magnetons per cell. As for the formation energy: -0.013 eV/atom.

Cell and atoms, written as POSCAR:
```
BiPbAu2
1.0
4.388 0.000 0.000
2.194 3.800 0.000
2.194 1.267 6.449
Pb Bi Au
1 1 2
Direct
0.496 0.496 0.512 Pb
0.671 0.671 0.988 Bi
0.250 0.250 0.251 Au
0.084 0.084 0.749 Au
```

***

# 6
Material: Bi3PbAu
Method: DFT, PBE
State: optimized geometry

The density is 11.16 g/cm³. As for the space group: Pnma. The spin magnetization comes out at 0.00 Bohr magnetons per cell. As for the formation energy: 0.013 eV/atom. Its energy above the lowest structure with this stoichiometry is 0.01 eV per formula unit.

Cell and atoms, written as POSCAR:
```
Bi3PbAu
1.0
6.664 0.000 0.000
0.000 10.114 0.000
0.000 0.000 9.103
Bi Pb Au
12 4 4
Direct
0.688 0.710 0.069 Bi
0.778 0.010 0.250 Bi
0.812 0.210 0.931 Bi
0.278 0.490 0.250 Bi
0.722 0.510 0.750 Bi
0.312 0.290 0.569 Bi
0.222 0.990 0.750 Bi
0.688 0.710 0.431 Bi
0.188 0.790 0.069 Bi
0.188 0.790 0.431 Bi
0.312 0.290 0.931 Bi
0.812 0.210 0.569 Bi
0.751 0.892 0.750 Pb
0.249 0.108 0.250 Pb
0.251 0.608 0.750 Pb
0.749 0.392 0.250 Pb
0.000 0.500 0.000 Au
0.500 0.000 0.500 Au
0.000 0.500 0.500 Au
0.500 0.000 0.000 Au
```

***

# 7
Material: Bi2PbAu
Method: DFT, PBE
State: optimized geometry

The density is 11.94 g/cm³. As for the space group: P2_1/m. The spin magnetization comes out at 0.00 Bohr magnetons per cell. As for the formation energy: -0.008 eV/atom.

Cell and atoms, written as POSCAR:
```
Bi2PbAu
1.0
4.299 -0.180 0.000
-1.890 6.095 0.000
0.000 0.000 8.838
Pb Bi Au
2 4 2
Direct
0.554 0.111 0.750 Pb
0.446 0.889 0.250 Pb
0.134 0.267 0.050 Bi
0.134 0.267 0.450 Bi
0.866 0.733 0.550 Bi
0.866 0.733 0.950 Bi
0.258 0.514 0.750 Au
0.742 0.486 0.250 Au
```

***

# 8
Material: Bi3Pb4Au
Method: DFT, PBE
State: optimized geometry

The density is 10.99 g/cm³. As for the space group: C2/m. The spin magnetization comes out at 0.00 Bohr magnetons per cell. As for the formation energy: 0.043 eV/atom.

Cell and atoms, written as POSCAR:
```
Bi3Pb4Au
1.0
4.069 0.007 -0.431
-0.085 4.345 -0.735
-0.545 0.149 14.150
Pb Bi Au
4 3 1
Direct
0.595 0.591 0.183 Pb
0.717 0.717 0.433 Pb
0.405 0.409 0.817 Pb
0.283 0.283 0.567 Pb
0.500 0.000 0.000 Bi
0.161 0.157 0.315 Bi
0.839 0.843 0.685 Bi
0.000 0.500 0.000 Au
```

***

# 9
Material: Bi2Pb5Au4
Method: DFT, PBE
State: optimized geometry

The density is 12.30 g/cm³. As for the space group: C2/m. The spin magnetization comes out at 0.00 Bohr magnetons per cell. As for the formation energy: -0.017 eV/atom.

Cell and atoms, written as POSCAR:
```
Bi2Pb5Au4
1.0
4.525 0.000 -0.982
-1.166 5.101 -5.372
1.141 -3.003 16.178
Au Pb Bi
4 5 2
Direct
0.019 0.801 0.039 Au
0.328 0.412 0.657 Au
0.981 0.199 0.961 Au
0.672 0.588 0.343 Au
0.795 0.517 0.590 Pb
0.205 0.483 0.410 Pb
0.500 0.000 0.000 Pb
0.850 0.251 0.700 Pb
0.150 0.749 0.300 Pb
0.591 0.877 0.182 Bi
0.409 0.123 0.818 Bi
```

***

# 10
Material: BiPbAu2
Method: DFT, PBE
State: optimized geometry

The density is 12.72 g/cm³. As for the space group: R-3m. The spin magnetization comes out at 0.00 Bohr magnetons per cell. As for the formation energy: -0.027 eV/atom.

Cell and atoms, written as POSCAR:
```
BiPbAu2
1.0
4.318 0.000 0.000
2.159 3.739 0.000
2.159 1.246 6.551
Au Bi Pb
2 1 1
Direct
0.748 0.748 0.757 Au
0.252 0.252 0.243 Au
0.000 0.000 0.000 Bi
0.500 0.500 0.500 Pb
```

***

# 11
Material: BiPbAu
Method: DFT, PBE
State: optimized geometry

The density is 11.20 g/cm³. As for the space group: P3m1. The spin magnetization comes out at 0.00 Bohr magnetons per cell. As for the formation energy: -0.025 eV/atom. Its energy above the lowest structure with this stoichiometry is 0.16 eV per formula unit.

Cell and atoms, written as POSCAR:
```
BiPbAu
1.0
4.805 0.000 0.000
0.000 4.674 0.000
0.000 -2.337 4.048
Pb Bi Au
1 1 1
Direct
0.746 0.667 0.333 Pb
0.226 0.333 0.667 Bi
0.029 0.000 0.000 Au
```

***

# 12
Material: Bi2PbAu
Method: DFT, PBE
State: optimized geometry

The density is 11.07 g/cm³. As for the space group: R3m. The spin magnetization comes out at 0.00 Bohr magnetons per cell. As for the formation energy: 0.027 eV/atom.

Cell and atoms, written as POSCAR:
```
Bi2PbAu
1.0
4.601 0.000 0.000
2.300 3.984 0.000
2.300 1.328 6.725
Bi Au Pb
2 1 1
Direct
0.066 0.066 0.803 Bi
0.268 0.268 0.196 Bi
0.666 0.666 0.002 Au
0.500 0.500 0.499 Pb
```

***

- Look up the formation energy of the sixth one.
  0.013 eV/atom

***

- Which formula does entry 3 have?
  BiPb8Au6

***

- What is the spin magnetization in the eighth record?
  0.00 Bohr magnetons per cell